No. 1
Crystalline CaIrOs2 at its relaxed geometry, computed with PBE-GGA.

Cell: 6.0204 6.0204 6.0204 Å, 100.69 100.69 128.98°
Fractional coordinates of all 8 atoms:
Ca  0.0000  0.0000  0.0000
Ca  0.7500  0.2500  0.5000
Ir  0.2500  0.7500  0.5000
Ir  0.5000  0.5000  0.0000
Os  0.1837  0.1250  0.5587
Os  0.3750  0.8163  0.9413
Os  0.5663  0.6250  0.4413
Os  0.8750  0.4337  0.0587

Properties
**Space group**: I-42d (122)
**Relative energy among the computed polymorphs**: 0.552 eV per atom
**ΔH_f (0 K)**: 3.083 eV/f.u.


No. 2
Crystalline CsPaRh2O8 at its relaxed geometry, computed with PBE-GGA.

Cell: 5.8079 5.8079 8.8084 Å, 90.00 90.00 120.00°
Fractional coordinates of all 12 atoms:
Cs  0.0000  0.0000  0.0000
Pa  0.0000  0.0000  0.5000
Rh  0.3333  0.6667  0.7401
Rh  0.6667  0.3333  0.2599
O  0.1109  0.3364  0.6465
O  0.2255  0.8891  0.6465
O  0.3333  0.6667  0.9389
O  0.3364  0.2255  0.3535
O  0.6636  0.7745  0.6465
O  0.6667  0.3333  0.0611
O  0.7745  0.1109  0.3535
O  0.8891  0.6636  0.3535

Properties
**Energy relative to the elements, uncorrected**: -1.3773 eV/atom
**Space group**: P-3 (147)


> Which formula does entry 1 have?

CaIrOs2


> Number 1 is which compound?

CaIrOs2